(1)
Material: Mn2V3Co8
Method: DFT, PBE-GGA
State: relaxed

```
Mn2V3Co8
1.0
2.290 1.322 8.865
-2.290 1.322 8.865
0.000 -2.645 8.865
Mn V Co
2 3 8
Direct
0.141 0.141 0.141
0.859 0.859 0.859
0.315 0.315 0.315
0.500 0.500 0.500
0.685 0.685 0.685
0.227 0.227 0.227
0.229 0.229 0.731
0.229 0.731 0.229
0.269 0.771 0.771
0.731 0.229 0.229
0.771 0.269 0.771
0.771 0.771 0.269
0.773 0.773 0.773
```

Values from the calculation:
DOS at the Fermi energy in states/eV/cell: 12.53
Calculated density in Mg/m³: 7.567
E_form in eV/atom: 0.150


(2)
Material: AcPmCuAu
Method: DFT, PBE-GGA
State: relaxed

```
AcPmCuAu
1.0
4.769 0.000 0.000
0.000 2.055 5.568
0.000 -2.055 5.568
Ac Pm Cu Au
1 1 1 1
Direct
0.000 0.000 0.000
0.500 0.279 0.279
0.000 0.719 0.719
0.500 0.572 0.572
```

Values from the calculation:
DOS at the Fermi energy in states/eV/cell: 3.50
Energy relative to the lowest polymorph listed for this composition in eV/f.u.: 0.00
Calculated density in Mg/m³: 9.623
E_form in eV/atom: -0.467


(3)
Material: Na2Li2Zn
Method: DFT, PBE-GGA
State: relaxed

```
Na2Li2Zn
1.0
8.057 0.000 0.000
0.000 8.057 0.000
0.000 0.000 3.841
Na Li Zn
4 4 2
Direct
0.142 0.358 0.000
0.358 0.858 0.000
0.642 0.142 0.000
0.858 0.642 0.000
0.166 0.666 0.500
0.334 0.166 0.500
0.666 0.834 0.500
0.834 0.334 0.500
0.000 0.000 0.000
0.500 0.500 0.000
```

Values from the calculation:
DOS at the Fermi energy in states/eV/cell: 2.49
Energy relative to the lowest polymorph listed for this composition in eV/f.u.: 0.66
Calculated density in Mg/m³: 1.669
E_form in eV/atom: 0.191


(4)
Material: RuCN
Method: DFT, PBE-GGA
State: relaxed

```
RuCN
1.0
1.167 -4.908 0.000
1.167 4.908 0.000
-1.004 0.000 2.748
Ru C N
1 1 1
Direct
0.000 0.000 0.000
0.205 0.795 0.000
0.778 0.222 0.000
```

Values from the calculation:
Uncorrected formation energy in meV/atom: 587.5
DOS at the Fermi energy in states/eV/cell: 1.86
Energy relative to the lowest polymorph listed for this composition in eV/f.u.: 0.45
Calculated density in Mg/m³: 6.703


(5)
Material: Mg2AlOs
Method: DFT, PBE-GGA
State: relaxed

```
Mg2AlOs
1.0
2.839 0.000 0.000
0.000 2.839 0.000
0.000 0.000 8.548
Mg Al Os
2 1 1
Direct
0.000 0.000 0.229
0.000 0.000 0.771
0.500 0.500 0.500
0.500 0.500 0.000
```

Values from the calculation:
DOS at the Fermi energy in states/eV/cell: 3.55
Calculated density in Mg/m³: 6.407
E_form in eV/atom: 0.199


(6)
Material: Mn2CoCl
Method: DFT, PBE-GGA
State: relaxed

```
Mn2CoCl
1.0
3.049 0.000 0.000
0.000 2.969 0.000
-0.010 0.000 6.877
Mn Co Cl
2 1 1
Direct
0.001 0.000 0.203
0.999 0.000 0.797
0.500 0.500 0.000
0.000 0.500 0.500
```

Values from the calculation:
Uncorrected formation energy in meV/atom: 18.6
DOS at the Fermi energy in states/eV/cell: 2.40
Energy relative to the lowest polymorph listed for this composition in eV/f.u.: 0.00
Calculated density in Mg/m³: 5.449


(7)
Material: Ce5Pr3P8
Method: DFT, PBE-GGA
State: relaxed

```
Ce5Pr3P8
1.0
4.131 2.385 6.750
-4.131 2.385 6.750
0.000 -4.770 6.750
Ce Pr P
5 3 8
Direct
0.000 0.000 0.000
0.000 0.500 0.500
0.500 0.000 0.500
0.500 0.500 0.000
0.500 0.500 0.500
0.000 0.000 0.500
0.000 0.500 0.000
0.500 0.000 0.000
0.250 0.250 0.743
0.250 0.743 0.250
0.254 0.254 0.254
0.257 0.750 0.750
0.743 0.250 0.250
0.746 0.746 0.746
0.750 0.257 0.750
0.750 0.750 0.257
```

Values from the calculation:
DOS at the Fermi energy in states/eV/cell: 24.28
Calculated density in Mg/m³: 5.706
E_form in eV/atom: -1.508


(8)
Material: Tb3Ho12Al
Method: DFT, PBE-GGA
State: relaxed

```
Tb3Ho12Al
1.0
4.915 0.000 0.000
0.000 4.915 0.000
0.000 0.000 19.925
Tb Ho Al
3 12 1
Direct
0.000 0.000 0.000
0.000 0.000 0.254
0.000 0.000 0.746
0.000 0.500 0.128
0.000 0.500 0.383
0.000 0.500 0.617
0.000 0.500 0.872
0.500 0.000 0.128
0.500 0.000 0.383
0.500 0.000 0.617
0.500 0.000 0.872
0.500 0.500 0.000
0.500 0.500 0.258
0.500 0.500 0.500
0.500 0.500 0.742
0.000 0.000 0.500
```

Values from the calculation:
DOS at the Fermi energy in states/eV/cell: 19.51
Calculated density in Mg/m³: 8.566
E_form in eV/atom: -0.019


(9)
Material: Li3La2Cu12Pt
Method: DFT, PBE-GGA
State: relaxed

```
Li3La2Cu12Pt
1.0
2.923 1.688 9.958
-2.923 1.688 9.958
0.000 -3.375 9.958
Li La Cu Pt
3 2 12 1
Direct
0.000 0.500 0.500
0.500 0.000 0.500
0.500 0.500 0.000
0.144 0.144 0.144
0.856 0.856 0.856
0.087 0.087 0.680
0.087 0.680 0.087
0.135 0.577 0.577
0.320 0.913 0.913
0.423 0.423 0.865
0.423 0.865 0.423
0.577 0.135 0.577
0.577 0.577 0.135
0.680 0.087 0.087
0.865 0.423 0.423
0.913 0.320 0.913
0.913 0.913 0.320
0.500 0.500 0.500
```

Values from the calculation:
DOS at the Fermi energy in states/eV/cell: 6.40
Calculated density in Mg/m³: 7.077
E_form in eV/atom: 0.050


(10)
Material: NaTeBrN2
Method: DFT, PBE-GGA
State: relaxed

```
NaTeBrN2
1.0
4.460 0.000 0.000
0.000 4.460 0.000
0.000 0.000 5.895
Na Te Br N
1 1 1 2
Direct
0.000 0.000 0.000
0.500 0.500 0.000
0.500 0.500 0.500
0.000 0.500 0.500
0.500 0.000 0.500
```

Values from the calculation:
Uncorrected formation energy in meV/atom: 1719.4
DOS at the Fermi energy in states/eV/cell: 2.30
Energy relative to the lowest polymorph listed for this composition in eV/f.u.: 0.00
Calculated density in Mg/m³: 3.661


(11)
Material: PaCdSe3
Method: DFT, PBE-GGA
State: relaxed

```
PaCdSe3
1.0
3.461 1.998 7.680
-3.461 1.998 7.680
0.000 -3.996 7.680
Pa Cd Se
2 2 6
Direct
0.167 0.167 0.167
0.833 0.833 0.833
0.438 0.438 0.438
0.562 0.562 0.562
0.026 0.419 0.812
0.188 0.581 0.974
0.419 0.812 0.026
0.581 0.974 0.188
0.812 0.026 0.419
0.974 0.188 0.581
```

Values from the calculation:
Uncorrected formation energy in meV/atom: -884.2
DOS at the Fermi energy in states/eV/cell: 3.06
Calculated density in Mg/m³: 6.047


(12)
Material: LiTiPt2
Method: DFT, PBE-GGA
State: relaxed

```
LiTiPt2
1.0
2.483 -1.427 0.000
2.483 1.427 0.000
-1.687 0.000 8.579
Li Ti Pt
1 1 2
Direct
0.000 0.000 0.000
0.169 0.169 0.500
0.583 0.583 0.749
0.754 0.754 0.251
```

Values from the calculation:
DOS at the Fermi energy in states/eV/cell: 2.39
Energy relative to the lowest polymorph listed for this composition in eV/f.u.: 1.07
Calculated density in Mg/m³: 12.153
E_form in eV/atom: -0.596